Below is an optimized crystal structure of Ca2AcMgTl4, with properties calculated at the PBE level.

Cell lengths 10.052, 10.052, 10.052 Å; angles 31.20, 31.20, 31.20 degrees
Element x y z (fractional)
Ca (0.241, 0.241, 0.241)
Ca (0.759, 0.759, 0.759)
Ac (0.000, 0.000, 0.000)
Mg (0.500, 0.500, 0.500)
Tl (0.126, 0.126, 0.126)
Tl (0.386, 0.386, 0.386)
Tl (0.614, 0.614, 0.614)
Tl (0.874, 0.874, 0.874)

Summary:
Theoretical density: 7.89 g/cm³
Total magnetization: 0.00 Bohr magnetons per cell
Energy of formation from the pure elements: -0.325 eV per atom